[1]
10
Lattice="5.3216 0.0000 0.0000 -0.1697 6.1589 0.0000 -1.1904 -2.6723 5.8374" Properties=species:S:1:pos:R:3 comment="KWO3, relaxed, DFT PBE+U" total_magnetization_mub_per_cell=0.00 space_group="P-1, No. 2" total_energy_ev_per_atom=-6.5158 pbc="T T T"
K 0.9681 1.5915 1.0352
K 2.9933 1.8950 4.8022
W 0.4147 4.4938 3.3471
W 3.5467 -1.0073 2.4903
O -0.7985 -0.3315 4.0753
O 0.2057 3.3086 4.6795
O 1.8427 -0.1583 3.3064
O 2.1187 3.6448 2.5310
O 3.7557 0.1779 1.1579
O 4.7599 3.8181 1.7621

=====

[2]
10
Lattice="5.9069 -2.1275 0.0000 5.9069 2.1275 0.0000 -1.6532 0.0000 6.8085" Properties=species:S:1:pos:R:3 comment="KWO3, relaxed, DFT PBE+U" total_magnetization_mub_per_cell=4.00 space_group="C2/m, No. 12" total_energy_ev_per_atom=-6.1370 pbc="T T T"
K 0.7807 0.0000 2.6383
K 9.3800 0.0000 4.1702
W 3.9494 0.0000 0.6955
W 6.2112 0.0000 6.1129
O 0.5784 0.0000 6.4257
O 3.4931 0.0000 2.5279
O 4.0534 0.0000 6.0649
O 6.1073 0.0000 0.7436
O 6.6676 0.0000 4.2805
O 9.5822 0.0000 0.3828